1.
VCu2Cl4 (GGA-PBE, optimized geometry); volume = 159 Å³/cell; theoretical density = 3.3 g/cm³; raw formation energy = -0.56 eV per atom
1.0
5.459 0.000 0.000
0.000 5.459 0.000
-2.730 -2.730 5.343
Cl V Cu
4 1 2
direct
0.627 0.627 0.746 Cl
0.373 0.881 0.254 Cl
0.881 0.373 0.254 Cl
0.119 0.119 0.746 Cl
0.500 0.500 0.000 V
0.750 0.250 0.500 Cu
0.250 0.750 0.500 Cu



2.
Ho3UAg3Se8 (GGA-PBE, optimized geometry); volume = 385 Å³/cell; theoretical density = 7.3 g/cm³; raw formation energy = -1.15 eV per atom
1.0
8.312 0.000 0.000
-4.156 7.198 -0.036
0.000 -4.790 6.467
Se Ag Ho U
8 3 3 1
direct
0.251 0.501 0.253 Se
0.253 0.005 0.259 Se
0.247 0.495 0.741 Se
0.747 0.995 0.741 Se
0.752 0.005 0.259 Se
0.749 0.499 0.747 Se
0.248 0.995 0.741 Se
0.753 0.505 0.259 Se
0.500 0.500 0.000 Ag
0.000 0.500 0.000 Ag
0.000 0.000 0.000 Ag
0.500 0.000 0.500 Ho
0.000 0.500 0.500 Ho
0.500 0.500 0.500 Ho
0.000 0.000 0.500 U



3.
Er2SnH3 (GGA-PBE, optimized geometry); volume = 180 Å³/cell; total DFT energy (no corrections) = -54.224 eV per cell; theoretical density = 8.4 g/cm³
1.0
-0.786 2.311 -2.675
2.090 -6.145 -3.472
-7.260 -0.261 1.909
Sn Er H
2 4 6
direct
0.859 0.718 0.965 Sn
0.141 0.282 0.035 Sn
0.472 0.943 0.731 Er
0.528 0.057 0.269 Er
0.193 0.386 0.659 Er
0.807 0.614 0.341 Er
0.410 0.819 0.389 H
0.310 0.620 0.533 H
0.936 0.873 0.592 H
0.690 0.380 0.467 H
0.590 0.181 0.611 H
0.064 0.127 0.408 H



4.
ThSc4O (GGA-PBE, optimized geometry); volume = 261 Å³/cell; theoretical density = 5.4 g/cm³; raw formation energy = -0.94 eV per atom
1.0
-3.200 1.510 -4.690
4.591 -1.302 -3.552
-3.046 -7.172 3.673
Sc Th O
8 2 2
direct
0.876 0.744 0.216 Sc
0.624 0.528 0.784 Sc
0.141 0.288 0.433 Sc
0.376 0.472 0.216 Sc
0.124 0.256 0.784 Sc
0.859 0.712 0.567 Sc
0.641 0.145 0.433 Sc
0.359 0.855 0.567 Sc
0.750 0.150 0.000 Th
0.250 0.850 0.000 Th
0.000 0.000 0.500 O
0.500 0.500 0.500 O



5.
MnTl2GaC (GGA-PBE, optimized geometry); volume = 113 Å³/cell; theoretical density = 8.0 g/cm³; E_form = 1.014 eV/atom
1.0
-0.039 5.351 -1.697
-3.560 -0.147 -0.382
-0.640 1.682 5.318
C Tl Mn Ga
1 2 1 1
direct
0.000 0.000 0.000 C
0.500 0.000 0.000 Tl
0.000 0.000 0.500 Tl
0.500 0.500 0.500 Mn
0.000 0.500 0.000 Ga



6.
NiSbSe2 (GGA-PBE, optimized geometry); volume = 89 Å³/cell; theoretical density = 6.3 g/cm³; raw formation energy = -0.15 eV per atom
1.0
-1.228 -2.554 2.163
1.047 -3.387 -0.375
6.255 2.409 4.819
Ni Se Sb
1 2 1
direct
0.750 0.750 0.750 Ni
0.114 0.114 0.905 Se
0.386 0.386 0.595 Se
0.250 0.250 0.250 Sb



7.
Ba2Na5Hg5 (GGA-PBE, optimized geometry); volume = 376 Å³/cell; theoretical density = 6.2 g/cm³; E_form = -0.282 eV/atom
1.0
5.270 0.000 0.000
0.000 6.400 0.000
0.000 0.000 11.147
Hg Ba Na
5 2 5
direct
0.000 0.500 0.332 Hg
0.000 0.000 0.829 Hg
0.000 0.000 0.171 Hg
0.000 0.500 0.668 Hg
0.500 0.000 0.000 Hg
0.000 0.500 0.000 Ba
0.000 0.000 0.500 Ba
0.500 0.500 0.500 Na
0.500 0.249 0.758 Na
0.500 0.751 0.758 Na
0.500 0.751 0.242 Na
0.500 0.249 0.242 Na



8.
LaTbPu2Sb4 (GGA-PBE, optimized geometry); volume = 253 Å³/cell; theoretical density = 8.3 g/cm³; raw formation energy = -0.87 eV per atom
1.0
-2.774 -3.471 -0.589
0.981 0.514 -7.645
5.997 -4.429 -2.141
Sb La Pu Tb
4 1 2 1
direct
0.000 0.758 0.740 Sb
0.500 0.246 0.745 Sb
0.000 0.242 0.260 Sb
0.500 0.754 0.255 Sb
0.500 0.500 0.000 La
0.500 0.000 0.500 Pu
0.000 0.000 0.000 Pu
0.000 0.500 0.500 Tb



9.
PrCoGeH2 (GGA-PBE, optimized geometry); volume = 126 Å³/cell; total DFT energy (no corrections) = -51.175 eV per cell; theoretical density = 7.3 g/cm³
1.0
3.912 0.000 0.000
-1.956 5.390 0.000
0.000 0.000 5.954
Co Pr H Ge
2 2 4 2
direct
0.000 0.000 0.000 Co
0.000 0.000 0.500 Co
0.709 0.417 0.750 Pr
0.291 0.583 0.250 Pr
0.147 0.295 0.949 H
0.147 0.295 0.551 H
0.853 0.705 0.051 H
0.853 0.705 0.449 H
0.433 0.867 0.750 Ge
0.567 0.133 0.250 Ge



10.
Y6PtO12 (GGA-PBE, optimized geometry); volume = 264 Å³/cell; theoretical density = 5.8 g/cm³; raw formation energy = -2.87 eV per atom
1.0
6.427 0.005 -0.982
-1.144 6.324 -0.982
0.004 0.005 6.501
O Pt Y
12 1 6
direct
0.434 0.591 0.177 O
0.038 0.698 0.932 O
0.698 0.932 0.038 O
0.823 0.566 0.409 O
0.409 0.823 0.566 O
0.566 0.409 0.823 O
0.302 0.068 0.962 O
0.962 0.302 0.068 O
0.068 0.962 0.302 O
0.591 0.177 0.434 O
0.932 0.038 0.698 O
0.177 0.434 0.591 O
0.000 0.000 0.000 Pt
0.688 0.857 0.389 Y
0.857 0.389 0.688 Y
0.389 0.688 0.857 Y
0.611 0.312 0.143 Y
0.143 0.611 0.312 Y
0.312 0.143 0.611 Y



11.
HgTe3S (GGA-PBE, optimized geometry); offset from the most stable computed form = 0 meV per atom; volume = 151 Å³/cell; theoretical density = 6.8 g/cm³; raw formation energy = 0.46 eV per atom
1.0
5.326 0.000 0.000
0.000 5.326 0.000
0.000 0.000 5.326
Te Hg S
3 1 1
direct
0.500 0.000 0.000 Te
0.000 0.500 0.000 Te
0.000 0.000 0.500 Te
0.500 0.500 0.500 Hg
0.000 0.000 0.000 S



12.
NbSnBi2 (GGA-PBE, optimized geometry); volume = 311 Å³/cell; theoretical density = 6.7 g/cm³; E_form = 0.631 eV/atom
1.0
-5.371 -2.657 -2.910
-0.097 -4.829 4.588
-6.877 0.192 4.893
Bi Nb Sn
4 2 2
direct
0.875 0.839 0.750 Bi
0.161 0.625 0.250 Bi
0.589 0.125 0.250 Bi
0.375 0.411 0.750 Bi
0.250 0.750 0.500 Nb
0.500 0.500 0.000 Nb
0.750 0.250 0.500 Sn
0.000 0.000 0.000 Sn